# 1
! PBE-GGA Dy3Ho2Er3, optimized geometry; values from VASP
! **Calculated total energy**: -36.5 eV/f.u.
! **Space-group type**: No. 71
! **Magnetic moment**: 0.00 μB per cell
&SYSTEM
  ibrav = 0, nat = 8, ntyp = 3
/
ATOMIC_SPECIES
Dy 162.50 Dy.upf
Ho 164.93 Ho.upf
Er 167.26 Er.upf
CELL_PARAMETERS angstrom
-0.6550 -0.1263 4.9263
-0.2463 -4.9623 -0.1600
10.2995 2.0112 -1.0873
ATOMIC_POSITIONS crystal
Dy 0.6248 0.6248 0.2495
Dy 0.3752 0.3752 0.7505
Dy 0.5000 0.0000 0.0000
Ho 0.7499 0.2499 0.4998
Ho 0.2501 0.7501 0.5002
Er 0.1251 0.1251 0.2501
Er 0.0000 0.5000 0.0000
Er 0.8749 0.8749 0.7499

# 2
! PBE-GGA Dy2Ho4Er3, optimized geometry; values from VASP
! **Calculated total energy**: -40.3 eV/f.u.
! **Space-group type**: No. 15
! **Magnetic moment**: 0.00 μB per cell
&SYSTEM
  ibrav = 0, nat = 18, ntyp = 3
/
ATOMIC_SPECIES
Dy 162.50 Dy.upf
Ho 164.93 Ho.upf
Er 167.26 Er.upf
CELL_PARAMETERS angstrom
-3.3202 -5.0421 -0.7158
-1.6004 -6.5611 8.8378
-10.1706 -0.3007 4.4927
ATOMIC_POSITIONS crystal
Dy 0.4205 0.2364 0.5223
Dy 0.0795 0.4777 0.7636
Dy 0.5795 0.7636 0.4777
Dy 0.9205 0.5223 0.2364
Ho 0.4208 0.9039 0.1888
Ho 0.0792 0.8112 0.0961
Ho 0.5792 0.0961 0.8112
Ho 0.9208 0.1888 0.9039
Ho 0.0802 0.1446 0.4283
Ho 0.4198 0.5717 0.8554
Ho 0.9198 0.8554 0.5717
Ho 0.5802 0.4283 0.1446
Er 0.7532 0.0697 0.2630
Er 0.7468 0.7370 0.9303
Er 0.2468 0.9303 0.7370
Er 0.2532 0.2630 0.0697
Er 0.2500 0.5964 0.4036
Er 0.7500 0.4036 0.5964

# 3
! PBE-GGA Dy2Ho3Er5, optimized geometry; values from VASP
! **Calculated total energy**: -43.7 eV/f.u.
! **Space-group type**: No. 15
! **Magnetic moment**: 0.00 μB per cell
&SYSTEM
  ibrav = 0, nat = 20, ntyp = 3
/
ATOMIC_SPECIES
Dy 162.50 Dy.upf
Ho 164.93 Ho.upf
Er 167.26 Er.upf
CELL_PARAMETERS angstrom
-3.1141 8.1876 3.3324
-6.9903 -6.1542 -1.1444
6.1102 -3.5679 6.1628
ATOMIC_POSITIONS crystal
Dy 0.9674 0.0146 0.7450
Dy 0.0326 0.9854 0.2550
Dy 0.2775 0.7304 0.7450
Dy 0.7225 0.2696 0.2550
Ho 0.2712 0.0212 0.0424
Ho 0.7288 0.9788 0.9576
Ho 0.5151 0.4670 0.2453
Ho 0.4849 0.5330 0.7547
Ho 0.2302 0.7783 0.2453
Ho 0.7698 0.2217 0.7547
Er 0.2241 0.4741 0.9482
Er 0.7759 0.5259 0.0518
Er 0.9749 0.7249 0.4497
Er 0.4789 0.2289 0.4578
Er 0.0251 0.2751 0.5503
Er 0.5211 0.7711 0.5422
Er 0.8891 0.6104 0.7511
Er 0.1109 0.3896 0.2489
Er 0.3619 0.1407 0.7511
Er 0.6381 0.8593 0.2489

# 4
! PBE-GGA Dy3Ho3Er2, optimized geometry; values from VASP
! **Calculated total energy**: -36.5 eV/f.u.
! **Space-group type**: No. 71
! **Magnetic moment**: 0.00 μB per cell
&SYSTEM
  ibrav = 0, nat = 8, ntyp = 3
/
ATOMIC_SPECIES
Dy 162.50 Dy.upf
Ho 164.93 Ho.upf
Er 167.26 Er.upf
CELL_PARAMETERS angstrom
-2.0683 -4.2702 1.4950
1.2388 -2.1155 -4.3287
9.1211 0.3355 5.3007
ATOMIC_POSITIONS crystal
Dy 0.6254 0.6253 0.2507
Dy 0.3746 0.3747 0.7493
Dy 0.5000 0.0000 0.0000
Ho 0.1255 0.1255 0.2510
Ho 0.0000 0.5000 0.0000
Ho 0.8745 0.8745 0.7490
Er 0.7499 0.2499 0.4998
Er 0.2501 0.7501 0.5002